No. 1
Crystalline Ac4GeH2 at its relaxed geometry, computed with GGA-PBE.

V, Å³/cell: 419.10
Symmetry: I-42d
Magnetization, μB per formula unit: 0.00
Raw total energy, eV per atom: -4.33

Cell: 8.2957 8.2957 8.2957 Å, 102.91 123.59 102.91°
Fractional coordinates of all 14 atoms:
H 0.4419 0.3169 0.6250
H 0.8750 0.1831 0.5581
H 0.3081 0.6831 0.1250
H 0.3750 0.8169 0.6919
Ac 0.5571 0.2579 0.4039
Ac 0.1460 0.7421 0.2992
Ac 0.7008 0.8468 0.4429
Ac 0.1929 0.3468 0.9508
Ac 0.6040 0.6532 0.8461
Ac 0.1539 0.7579 0.8071
Ac 0.0492 0.2421 0.3960
Ac 0.5961 0.1532 0.8540
Ge 0.0000 0.0000 0.0000
Ge 0.7500 0.5000 0.2500

---

No. 2
Crystalline Hf12Pa5Cd3 at its relaxed geometry, computed with GGA-PBE.

Calculated formation energy, eV/atom: 1.34
V, Å³/cell: 2314.04
Symmetry: Ia-3d
Magnetization, μB per formula unit: 5.31

Cell: 14.4321 14.4321 14.4321 Å, 109.47 109.47 109.47°
Site moments in Bohr magnetons follow the coordinates.
Fractional coordinates of all 80 atoms:
Hf 0.7292 0.5789 0.1545  0.10
Hf 0.5757 0.6503 0.4211  0.10
Hf 0.0746 0.4243 0.8455  0.10
Hf 0.6503 0.0746 0.2292  0.10
Hf 0.9211 0.8455 0.7708  0.10
Hf 0.0746 0.6503 0.7292  0.10
Hf 0.0757 0.9211 0.1503  0.10
Hf 0.3497 0.4243 0.0789  0.10
Hf 0.5789 0.8497 0.4243  0.10
Hf 0.3497 0.9254 0.7708  0.10
Hf 0.4211 0.1503 0.5757  0.10
Hf 0.7292 0.1503 0.0746  0.10
Hf 0.1503 0.4211 0.0757  0.10
Hf 0.3455 0.7708 0.4211  0.10
Hf 0.9243 0.8455 0.5746  0.10
Hf 0.3455 0.5746 0.4243  0.10
Hf 0.5789 0.7292 0.6545  0.10
Hf 0.9243 0.0789 0.8497  0.10
Hf 0.5746 0.2292 0.1503  0.10
Hf 0.1503 0.7292 0.5746  0.10
Hf 0.7708 0.3455 0.9211  0.10
Hf 0.2708 0.8497 0.9254  0.10
Hf 0.5746 0.3455 0.9243  0.10
Hf 0.8497 0.5789 0.9243  0.10
Hf 0.8455 0.9211 0.2708  0.10
Hf 0.0757 0.1545 0.4254  0.10
Hf 0.0789 0.9243 0.3497  0.10
Hf 0.8455 0.9243 0.0746  0.10
Hf 0.1545 0.0757 0.9254  0.10
Hf 0.2708 0.4211 0.8455  0.10
Hf 0.9254 0.5757 0.1545  0.10
Hf 0.7708 0.4254 0.3497  0.10
Hf 0.9211 0.0757 0.6503  0.10
Hf 0.4254 0.6545 0.0757  0.10
Hf 0.4243 0.3497 0.5789  0.10
Hf 0.5757 0.9254 0.6545  0.10
Hf 0.8497 0.2708 0.4254  0.10
Hf 0.2292 0.6545 0.0789  0.10
Hf 0.6503 0.5757 0.9211  0.10
Hf 0.0789 0.1545 0.2292  0.10
Hf 0.4254 0.7708 0.8497  0.10
Hf 0.9254 0.3497 0.2708  0.10
Hf 0.2292 0.5746 0.6503  0.10
Hf 0.4243 0.0746 0.3455  0.10
Hf 0.6545 0.4254 0.5757  0.10
Hf 0.4211 0.2708 0.3455  0.10
Hf 0.6545 0.2292 0.5789  0.10
Hf 0.1545 0.0789 0.7292  0.10
Cd 0.2500 0.6250 0.8750  0.00
Cd 0.8750 0.1250 0.2500  0.00
Cd 0.3750 0.6250 0.2500  0.00
Cd 0.6250 0.3750 0.7500  0.00
Cd 0.3750 0.7500 0.6250  0.00
Cd 0.1250 0.2500 0.8750  0.00
Cd 0.8750 0.7500 0.1250  0.00
Cd 0.1250 0.8750 0.7500  0.00
Cd 0.7500 0.8750 0.6250  0.00
Cd 0.2500 0.1250 0.3750  0.00
Cd 0.6250 0.2500 0.3750  0.00
Cd 0.7500 0.3750 0.1250  0.00
Pa 0.5000 0.5000 0.0000  -0.06
Pa 0.0000 0.0000 0.5000  -0.06
Pa 0.2500 0.3750 0.6250  1.16
Pa 0.2500 0.8750 0.1250  1.16
Pa 0.8750 0.6250 0.7500  1.16
Pa 0.0000 0.5000 0.5000  -0.06
Pa 0.5000 0.0000 0.0000  -0.06
Pa 0.1250 0.3750 0.2500  1.16
Pa 0.3750 0.2500 0.1250  1.16
Pa 0.7500 0.1250 0.8750  1.16
Pa 0.7500 0.6250 0.3750  1.16
Pa 0.1250 0.7500 0.3750  1.16
Pa 0.6250 0.7500 0.8750  1.16
Pa 0.0000 0.0000 0.0000  -0.06
Pa 0.8750 0.2500 0.6250  1.16
Pa 0.6250 0.8750 0.2500  1.16
Pa 0.3750 0.1250 0.7500  1.16
Pa 0.5000 0.0000 0.5000  -0.06
Pa 0.5000 0.5000 0.5000  -0.06
Pa 0.0000 0.5000 0.0000  -0.06

---

No. 3
Crystalline Rb2AuF at its relaxed geometry, computed with GGA-PBE.

V, Å³/cell: 543.89
Symmetry: Pnma
Magnetization, μB per formula unit: 0.00
Formation energy without anion corrections, eV per atom: -1.44

Cell: 4.7728 7.8976 14.4290 Å, 90.00 90.00 90.00°
Fractional coordinates of all 16 atoms:
Rb 0.2500 0.3497 0.7444
Rb 0.7500 0.6852 0.9730
Rb 0.2500 0.8148 0.4730
Rb 0.7500 0.1503 0.2444
Rb 0.7500 0.6503 0.2556
Rb 0.2500 0.8497 0.7556
Rb 0.2500 0.3148 0.0270
Rb 0.7500 0.1852 0.5270
F 0.7500 0.9212 0.3902
F 0.2500 0.0788 0.6098
F 0.2500 0.5788 0.8902
F 0.7500 0.4212 0.1098
Au 0.7500 0.1045 0.8700
Au 0.2500 0.3955 0.3700
Au 0.2500 0.8955 0.1300
Au 0.7500 0.6045 0.6300

---

No. 4
Crystalline NpSc2NbN4 at its relaxed geometry, computed with GGA-PBE.

V, Å³/cell: 95.61
Symmetry: P2/m
Magnetization, μB per formula unit: 2.21
Formation energy without anion corrections, eV per atom: -1.50

Cell: 3.2136 5.5547 5.6540 Å, 108.68 90.00 90.00°
Site moments in Bohr magnetons follow the coordinates.
Fractional coordinates of all 8 atoms:
N 0.5000 0.2487 0.2494  -0.03
N 0.0000 0.7568 0.2587  -0.06
N 0.0000 0.2432 0.7413  -0.06
N 0.5000 0.7513 0.7506  -0.03
Np 0.5000 0.5000 0.0000  2.29
Sc 0.5000 0.0000 0.5000  0.03
Sc 0.0000 0.5000 0.5000  0.05
Nb 0.0000 0.0000 0.0000  -0.06

---

No. 5
Crystalline Li2ThIn4Ag at its relaxed geometry, computed with GGA-PBE.

Calculated formation energy, eV/atom: -0.20
V, Å³/cell: 181.55
Symmetry: R-3m
Magnetization, μB per formula unit: 0.00

Cell: 4.7396 4.7396 9.7248 Å, 75.90 75.90 60.00°
Fractional coordinates of all 8 atoms:
Ag 0.5000 0.5000 0.5000
In 0.1247 0.1247 0.6258
In 0.3958 0.3958 0.8125
In 0.6042 0.6042 0.1875
In 0.8753 0.8753 0.3742
Th 0.0000 0.0000 0.0000
Li 0.2394 0.2394 0.2818
Li 0.7606 0.7606 0.7182

---

No. 6
Crystalline Pr2InI at its relaxed geometry, computed with GGA-PBE.

V, Å³/cell: 132.76
Symmetry: R-3m
Magnetization, μB per formula unit: 0.00
Formation energy without anion corrections, eV per atom: -0.63

Cell: 4.0357 4.0357 9.6962 Å, 77.99 77.99 60.00°
Fractional coordinates of all 4 atoms:
Pr 0.7461 0.7461 0.7618
Pr 0.2539 0.2539 0.2382
In 0.0000 0.0000 0.0000
I 0.5000 0.5000 0.5000

---

No. 7
Crystalline CaFeCu2 at its relaxed geometry, computed with GGA-PBE.

Calculated formation energy, eV/atom: 0.33
V, Å³/cell: 66.77
Symmetry: Fm-3m
Magnetization, μB per formula unit: 2.86

Cell: 4.5536 4.5536 4.5536 Å, 60.00 60.00 60.00°
Site moments in Bohr magnetons follow the coordinates.
Fractional coordinates of all 4 atoms:
Cu 0.2500 0.2500 0.2500  0.04
Cu 0.7500 0.7500 0.7500  0.04
Fe 0.5000 0.5000 0.5000  2.90
Ca 0.0000 0.0000 0.0000  -0.03

---

No. 8
Crystalline Sm4NiAu at its relaxed geometry, computed with GGA-PBE.

Calculated formation energy, eV/atom: -0.29
V, Å³/cell: 350.87
Symmetry: P2_1/c
Magnetization, μB per formula unit: 0.00

Cell: 7.0301 7.1768 6.9809 Å, 90.00 95.00 90.00°
Fractional coordinates of all 12 atoms:
Sm 0.6278 0.1555 0.8236
Sm 0.3722 0.8445 0.1764
Sm 0.8722 0.6555 0.1764
Sm 0.1278 0.3445 0.8236
Sm 0.3125 0.3332 0.3407
Sm 0.1875 0.8332 0.6593
Sm 0.8125 0.1668 0.3407
Sm 0.6875 0.6668 0.6593
Au 0.5000 0.5000 0.0000
Au 0.0000 0.0000 0.0000
Ni 0.0000 0.5000 0.5000
Ni 0.5000 0.0000 0.5000

---

No. 9
Crystalline SmDy5Er5 at its relaxed geometry, computed with GGA-PBE.

Calculated formation energy, eV/atom: 0.32
V, Å³/cell: 363.18
Symmetry: P-6m2
Magnetization, μB per formula unit: 0.00

Cell: 6.0214 6.0214 11.5663 Å, 90.00 90.00 120.00°
Fractional coordinates of all 11 atoms:
Sm 0.3333 0.6667 0.0000
Dy 0.3333 0.6667 0.3214
Dy 0.0000 0.0000 0.0000
Dy 0.6667 0.3333 0.8437
Dy 0.3333 0.6667 0.6786
Dy 0.6667 0.3333 0.1563
Er 0.8328 0.1672 0.5000
Er 0.8328 0.6655 0.5000
Er 0.3345 0.1672 0.5000
Er 0.0000 0.0000 0.2650
Er 0.0000 0.0000 0.7350

---

No. 10
Crystalline KCa2La at its relaxed geometry, computed with GGA-PBE.

Calculated formation energy, eV/atom: 0.30
V, Å³/cell: 176.59
Symmetry: Pmmm
Magnetization, μB per formula unit: 0.00

Cell: 4.0582 6.6572 6.5363 Å, 90.00 90.00 90.00°
Fractional coordinates of all 4 atoms:
Ca 0.0000 0.0000 0.0000
Ca 0.5000 0.5000 0.0000
K 0.5000 0.0000 0.5000
La 0.0000 0.5000 0.5000

---

No. 11
Crystalline Eu2NbGaO7 at its relaxed geometry, computed with GGA-PBE.

V, Å³/cell: 285.66
Symmetry: Imma
Magnetization, μB per formula unit: 0.34
Formation energy without anion corrections, eV per atom: -2.51

Cell: 7.3943 7.3071 7.4733 Å, 90.00 59.65 119.61°
Site moments in Bohr magnetons follow the coordinates.
Fractional coordinates of all 22 atoms:
O 0.3349 0.6674 0.0826  0.22
O 0.6651 0.3326 0.9174  0.22
O 0.7488 0.3744 0.3756  -0.02
O 0.2501 0.9238 0.3264  0.02
O 0.2501 0.3264 0.9235  0.02
O 0.7499 0.0762 0.6736  0.02
O 0.8467 0.9233 0.3267  -0.03
O 0.7499 0.6736 0.6736  0.02
O 0.2512 0.6256 0.6244  -0.02
O 0.2501 0.3264 0.3264  0.02
O 0.2501 0.9238 0.9235  0.02
O 0.7499 0.0762 0.0765  0.02
O 0.1533 0.0767 0.6733  -0.03
O 0.7499 0.6736 0.0765  0.02
Ga 0.5000 0.5000 0.0000  -0.01
Ga 0.5000 0.0000 0.0000  -0.01
Nb 0.0000 0.0000 0.0000  0.00
Nb 0.0000 0.0000 0.5000  0.00
Eu 0.0000 0.5000 0.5000  -6.28
Eu 0.5000 0.5000 0.5000  6.31
Eu 0.5000 0.0000 0.5000  6.31
Eu 0.0000 0.5000 0.0000  -6.28

---

No. 12
Crystalline SrZr2Ru at its relaxed geometry, computed with GGA-PBE.

Calculated formation energy, eV/atom: 0.17
V, Å³/cell: 109.90
Symmetry: R-3m
Magnetization, μB per formula unit: 0.00

Cell: 9.7664 9.7664 9.7664 Å, 21.53 21.53 21.53°
Fractional coordinates of all 4 atoms:
Sr 0.7500 0.7500 0.7500
Zr 0.9721 0.9721 0.9721
Zr 0.5279 0.5279 0.5279
Ru 0.2500 0.2500 0.2500

---

No. 13
Crystalline Ti8Ga3Au2 at its relaxed geometry, computed with GGA-PBE.

Calculated formation energy, eV/atom: -0.07
V, Å³/cell: 232.31
Symmetry: C2/m
Magnetization, μB per formula unit: 0.92

Cell: 4.3645 6.5891 8.7240 Å, 112.19 90.04 90.00°
Site moments in Bohr magnetons follow the coordinates.
Fractional coordinates of all 13 atoms:
Ti 0.4996 0.6020 0.7735  0.09
Ti 0.9993 0.3333 0.6665  0.52
Ti 0.0007 0.6667 0.3335  0.52
Ti 0.5004 0.8285 0.2265  0.09
Ti 0.0000 0.1102 0.2205  -0.32
Ti 0.4996 0.1715 0.7735  0.09
Ti 0.0000 0.8898 0.7795  -0.32
Ti 0.5004 0.3980 0.2265  0.09
Ga 0.0000 0.3106 0.0000  0.00
Ga 0.0000 0.6894 0.0000  0.00
Ga 0.5000 0.0000 0.0000  0.01
Au 0.5009 0.7690 0.5379  0.01
Au 0.4991 0.2310 0.4621  0.01